## MnNi2Rh (GGA-PBE)

Data for a relaxed structure of MnNi2Rh.

Cell and atoms, written as CIF:
```
data_MnNi2Rh
_chemical_formula_sum 'Mn1 Ni2 Rh1'
_cell_length_a 2.6631
_cell_length_b 3.6207
_cell_length_c 5.1506
_cell_angle_alpha 90.00
_cell_angle_beta 90.00
_cell_angle_gamma 90.00
_space_group_name_H-M_alt 'P m m m'
_space_group_IT_number 47
loop_
_space_group_symop_operation_xyz
'x,y,z'
'-x,-y,-z'
'-x,-y,z'
'x,y,-z'
'x,-y,-z'
'-x,y,z'
'-x,y,-z'
'x,-y,z'
loop_
_atom_site_label
_atom_site_fract_x
_atom_site_fract_y
_atom_site_fract_z
Mn1 0.0000 0.0000 0.0000
Ni1 0.5000 0.5000 0.2492
Rh1 0.0000 0.0000 0.5000
```

Output
* energy of formation: -4 kJ/mol of formula units



## MnNiRh2 (GGA-PBE)

Data for a relaxed structure of MnNiRh2.

Cell and atoms, written as CIF:
```
data_MnNiRh2
_chemical_formula_sum 'Mn1 Ni1 Rh2'
_cell_length_a 2.7244
_cell_length_b 3.6849
_cell_length_c 5.2639
_cell_angle_alpha 90.00
_cell_angle_beta 90.00
_cell_angle_gamma 90.00
_space_group_name_H-M_alt 'P m m 2'
_space_group_IT_number 25
loop_
_space_group_symop_operation_xyz
'x,y,z'
'-x,-y,z'
'-x,y,z'
'x,-y,z'
loop_
_atom_site_label
_atom_site_fract_x
_atom_site_fract_y
_atom_site_fract_z
Mn1 0.0000 0.0000 0.0000
Ni1 0.5000 0.5000 0.2415
Rh1 0.0000 0.0000 0.4822
Rh2 0.5000 0.5000 0.7455
```

Output
* energy of formation: -11 kJ/mol of formula units



## MnNiRh (GGA-PBE)

Data for a relaxed structure of MnNiRh.

Cell and atoms, written as CIF:
```
data_MnNiRh
_chemical_formula_sum 'Mn2 Ni2 Rh2'
_cell_length_a 2.7149
_cell_length_b 2.7149
_cell_length_c 10.4320
_cell_angle_alpha 90.00
_cell_angle_beta 90.00
_cell_angle_gamma 90.00
_space_group_name_H-M_alt 'I 4 m m'
_space_group_IT_number 107
_space_group_name_Hall 'I 4 -2'
loop_
_atom_site_label
_atom_site_fract_x
_atom_site_fract_y
_atom_site_fract_z
Mn1 0.0000 0.0000 0.0000
Ni1 0.0000 0.0000 0.6556
Rh1 0.0000 0.0000 0.3299
```

Output
* energy of formation: -2 kJ/mol of formula units



## MnNi3Rh (GGA-PBE)

Data for a relaxed structure of MnNi3Rh.

Cell and atoms, written as CIF:
```
data_MnNi3Rh
_chemical_formula_sum 'Mn4 Ni12 Rh4'
_cell_length_a 6.2894
_cell_length_b 5.1541
_cell_length_c 8.5534
_cell_angle_alpha 90.00
_cell_angle_beta 119.24
_cell_angle_gamma 90.00
_space_group_name_H-M_alt 'P 1 21/c 1'
_space_group_IT_number 14
loop_
_space_group_symop_operation_xyz
'x,y,z'
'-x,-y,-z'
'-x,y+1/2,-z+1/2'
'x,-y+1/2,z+1/2'
loop_
_atom_site_label
_atom_site_fract_x
_atom_site_fract_y
_atom_site_fract_z
Mn1 0.1065 0.1323 0.1559
Ni1 0.1025 0.6288 0.1508
Ni2 0.3021 0.1214 0.9539
Ni3 0.4984 0.1243 0.7494
Rh1 0.2959 0.6263 0.9514
```

Output
* energy of formation: -14 kJ/mol of formula units



## MnNiRh3 (GGA-PBE)

Data for a relaxed structure of MnNiRh3.

Cell and atoms, written as CIF:
```
data_MnNiRh3
_chemical_formula_sum 'Mn4 Ni4 Rh12'
_cell_length_a 5.3094
_cell_length_b 3.8072
_cell_length_c 13.2049
_cell_angle_alpha 90.00
_cell_angle_beta 90.00
_cell_angle_gamma 90.00
_space_group_name_H-M_alt 'P n m a'
_space_group_IT_number 62
loop_
_space_group_symop_operation_xyz
'x,y,z'
'-x,-y,-z'
'-x+1/2,-y,z+1/2'
'x+1/2,y,-z+1/2'
'x+1/2,-y+1/2,-z+1/2'
'-x+1/2,y+1/2,z+1/2'
'-x,y+1/2,-z'
'x,-y+1/2,z'
loop_
_atom_site_label
_atom_site_fract_x
_atom_site_fract_y
_atom_site_fract_z
Mn1 0.1043 0.2500 0.1494
Ni1 0.1333 0.2500 0.5493
Rh1 0.0995 0.2500 0.3542
Rh2 0.1352 0.2500 0.9511
Rh3 0.1534 0.2500 0.7471
```

Output
* energy of formation: -34 kJ/mol of formula units



## Mn2NiRh5 (GGA-PBE)

Data for a relaxed structure of Mn2NiRh5.

Cell and atoms, written as CIF:
```
data_Mn2NiRh5
_chemical_formula_sum 'Mn4 Ni2 Rh10'
_cell_length_a 5.3296
_cell_length_b 10.6367
_cell_length_c 3.7998
_cell_angle_alpha 90.00
_cell_angle_beta 90.00
_cell_angle_gamma 90.00
_space_group_name_H-M_alt 'P b a m'
_space_group_IT_number 55
loop_
_space_group_symop_operation_xyz
'x,y,z'
'-x,-y,-z'
'-x,-y,z'
'x,y,-z'
'x+1/2,-y+1/2,-z'
'-x+1/2,y+1/2,z'
'-x+1/2,y+1/2,-z'
'x+1/2,-y+1/2,z'
loop_
_atom_site_label
_atom_site_fract_x
_atom_site_fract_y
_atom_site_fract_z
Mn1 0.2403 0.1253 0.0000
Ni1 0.0000 0.5000 0.5000
Rh1 0.0000 0.0000 0.5000
Rh2 0.0179 0.7477 0.5000
Rh3 0.2333 0.3786 0.0000
```

Output
* energy of formation: -86 kJ/mol of formula units



## MnNi2Rh (GGA-PBE)

Data for a relaxed structure of MnNi2Rh.

Cell and atoms, written as CIF:
```
data_MnNi2Rh
_chemical_formula_sum 'Mn2 Ni4 Rh2'
_cell_length_a 3.6428
_cell_length_b 3.6428
_cell_length_c 7.4194
_cell_angle_alpha 90.00
_cell_angle_beta 90.00
_cell_angle_gamma 90.00
_space_group_name_H-M_alt 'I 4/m m m'
_space_group_IT_number 139
_space_group_name_Hall '-I 4 2'
loop_
_atom_site_label
_atom_site_fract_x
_atom_site_fract_y
_atom_site_fract_z
Mn1 0.0000 0.0000 0.0000
Ni1 0.0000 0.5000 0.2500
Rh1 0.0000 0.0000 0.5000
```

Output
* energy of formation: -21 kJ/mol of formula units



## MnNi3Rh (GGA-PBE)

Data for a relaxed structure of MnNi3Rh.

Cell and atoms, written as CIF:
```
data_MnNi3Rh
_chemical_formula_sum 'Mn4 Ni12 Rh4'
_cell_length_a 3.8877
_cell_length_b 12.4804
_cell_length_c 5.0589
_cell_angle_alpha 90.00
_cell_angle_beta 90.00
_cell_angle_gamma 90.00
_space_group_name_H-M_alt 'C m c m'
_space_group_IT_number 63
_space_group_name_Hall '-C 2c 2'
loop_
_atom_site_label
_atom_site_fract_x
_atom_site_fract_y
_atom_site_fract_z
Mn1 0.0000 0.2062 0.2500
Ni1 0.0000 0.1905 0.7500
Ni2 0.0000 0.3932 0.5005
Rh1 0.0000 0.0083 0.2500
```

Output
* energy of formation: 25 kJ/mol of formula units



- The highest energy of formation belongs to which entry?
  number 8



- What is the formula in the first record?
  MnNi2Rh